1.
PBE VRu4Rh, relaxed; N(E_F) = 1.151 states/eV/atom; DFT formation energy = -27 kJ/mol of formula units; uncorrected energy = -8.9763 eV/atom
1.0
3.812 -2.705 0.000
3.812 2.705 0.000
-3.807 0.000 8.084
V Ru Rh
2 8 2
Cartesian
0.957 2.032 6.063 V
2.860 -2.032 2.021 V
-0.950 0.679 4.713 Ru
-0.949 0.676 7.427 Ru
0.954 -0.679 0.671 Ru
0.954 -0.676 3.385 Ru
2.863 0.676 4.699 Ru
2.864 0.679 7.413 Ru
4.766 -0.676 0.657 Ru
4.767 -0.679 3.371 Ru
2.860 0.677 2.021 Rh
0.957 -0.677 6.063 Rh



2.
PBE ZrScV3, relaxed; N(E_F) = 1.904 states/eV/atom; DFT formation energy = 617 kJ/mol of formula units; uncorrected energy = -7.1682 eV/atom; ΔE to the lowest computed polymorph = 0.0000 eV/atom
1.0
4.494 0.000 0.000
0.000 4.494 0.000
0.000 0.000 4.494
Zr Sc V
1 1 3
Cartesian
0.000 0.000 0.000 Zr
2.247 2.247 2.247 Sc
0.000 2.247 2.247 V
2.247 0.000 2.247 V
2.247 2.247 0.000 V



3.
PBE PRu, relaxed; N(E_F) = 0.716 states/eV/atom; DFT formation energy = 54 kJ/mol of formula units; uncorrected energy = -7.0614 eV/atom; ΔE to the lowest computed polymorph = 0.8428 eV/atom
1.0
1.501 -2.400 0.000
1.501 2.400 0.000
0.000 0.000 8.116
P Ru
2 2
Cartesian
1.501 1.200 6.965 P
1.501 -1.200 1.151 P
1.501 1.200 2.846 Ru
1.501 -1.200 5.269 Ru



4.
PBE Si2AsPt, relaxed; N(E_F) = 0.353 states/eV/atom; uncorrected energy = -5.4471 eV/atom
1.0
3.607 -1.730 0.000
3.607 1.730 0.000
-2.457 0.000 5.574
Si As Pt
2 1 1
Cartesian
0.000 0.000 0.000 Si
-0.424 0.000 4.360 Si
2.896 0.000 2.528 As
4.990 0.000 1.162 Pt



5.
PBE SnSbF3, relaxed; N(E_F) = 0.805 states/eV/atom; uncorrected energy = -4.0523 eV/atom; ΔE to the lowest computed polymorph = 0.0000 eV/atom
1.0
4.624 0.000 0.000
0.000 4.624 0.000
0.000 0.000 4.624
Sn Sb F
1 1 3
Cartesian
0.000 0.000 0.000 Sn
2.312 2.312 2.312 Sb
0.000 2.312 2.312 F
2.312 0.000 2.312 F
2.312 2.312 0.000 F



6.
PBE Te2RuCl, relaxed; N(E_F) = 0.885 states/eV/atom; uncorrected energy = -4.1436 eV/atom; ΔE to the lowest computed polymorph = 0.4124 eV/atom
1.0
4.491 0.000 0.000
0.000 5.110 0.000
-1.555 0.000 4.224
Te Ru Cl
2 1 1
Cartesian
0.000 0.000 0.000 Te
0.016 2.555 3.127 Te
3.812 2.555 0.474 Ru
1.872 0.000 1.832 Cl



Total magnetization / Bohr magnetons per cell: 0.0; 0.0; 0.0; 0.0; 0.5; 0.0